# PBE-GGA TlSeF4, relaxed
data_TlSeF4
_space_group_name_H-M_alt 'C 1 2/c 1'
_space_group_IT_number 15
_cell_length_a 11.573
_cell_length_b 3.823
_cell_length_c 9.970
_cell_angle_alpha 90.00
_cell_angle_beta 93.50
_cell_angle_gamma 90.00
loop_
_space_group_symop_operation_xyz
'x,y,z'
'-x,-y,-z'
'-x,y,-z+1/2'
'x,-y,z+1/2'
'x+1/2,y+1/2,z'
'-x+1/2,-y+1/2,-z'
'-x+1/2,y+1/2,-z+1/2'
'x+1/2,-y+1/2,z+1/2'
loop_
_atom_site_label
_atom_site_type_symbol
_atom_site_fract_x
_atom_site_fract_y
_atom_site_fract_z
Tl1 Tl 0.250 0.250 0.000
Se1 Se 0.000 0.241 0.750
F1 F 0.053 0.350 0.358
F2 F 0.146 0.266 0.667
# ΔE to the lowest computed polymorph (meV per atom): 0
# E_form (uncorrected) (kcal/mol of atoms): -35.0
# Calculated total energy (eV per atom): -3.7423
# DOS(E_F) (states/eV/f.u.): 0.6
# Magnetization (μB per cell): 0.00

# PBE-GGA Ba2Sn3AsPd4, relaxed
data_Ba2Sn3AsPd4
_space_group_name_H-M_alt 'P -4 m 2'
_space_group_IT_number 115
_cell_length_a 4.771
_cell_length_b 4.771
_cell_length_c 10.723
_cell_angle_alpha 90.00
_cell_angle_beta 90.00
_cell_angle_gamma 90.00
loop_
_space_group_symop_operation_xyz
'x,y,z'
'y,-x,-z'
'-x,-y,z'
'-y,x,-z'
'-x,y,z'
'-y,-x,-z'
'x,-y,z'
'y,x,-z'
loop_
_atom_site_label
_atom_site_type_symbol
_atom_site_fract_x
_atom_site_fract_y
_atom_site_fract_z
Ba1 Ba 0.000 0.500 0.245
Sn1 Sn 0.000 0.000 0.000
Sn2 Sn 0.000 0.500 0.620
As1 As 0.500 0.500 0.000
Pd1 Pd 0.000 0.000 0.500
Pd2 Pd 0.000 0.500 0.879
Pd3 Pd 0.500 0.500 0.500
# Calculated total energy (eV per atom): -4.8326
# Energy of formation (eV per atom): -0.7051
# DOS(E_F) (states/eV/f.u.): 6.1
# Magnetization (μB per cell): 0.00

# PBE-GGA ZrHgSe2, relaxed
data_ZrHgSe2
_space_group_name_H-M_alt 'P n m a'
_space_group_IT_number 62
_cell_length_a 8.303
_cell_length_b 3.561
_cell_length_c 12.454
_cell_angle_alpha 90.00
_cell_angle_beta 90.00
_cell_angle_gamma 90.00
loop_
_space_group_symop_operation_xyz
'x,y,z'
'-x,-y,-z'
'-x+1/2,-y,z+1/2'
'x+1/2,y,-z+1/2'
'x+1/2,-y+1/2,-z+1/2'
'-x+1/2,y+1/2,z+1/2'
'-x,y+1/2,-z'
'x,-y+1/2,z'
loop_
_atom_site_label
_atom_site_type_symbol
_atom_site_fract_x
_atom_site_fract_y
_atom_site_fract_z
Zr1 Zr 0.039 0.250 0.167
Hg1 Hg 0.007 0.750 0.410
Se1 Se 0.152 0.750 0.022
Se2 Se 0.216 0.250 0.772
# ΔE to the lowest computed polymorph (meV per atom): 322
# E_form (uncorrected) (kcal/mol of atoms): -15.4
# Calculated total energy (eV per atom): -4.6242
# DOS(E_F) (states/eV/f.u.): 2.3
# Magnetization (μB per cell): 0.00

# PBE-GGA Tb2PuTl3, relaxed
data_Tb2PuTl3
_space_group_name_H-M_alt 'P 4/m m m'
_space_group_IT_number 123
_space_group_name_Hall '-P 4 2'
_cell_length_a 3.459
_cell_length_b 3.459
_cell_length_c 13.679
_cell_angle_alpha 90.00
_cell_angle_beta 90.00
_cell_angle_gamma 90.00
loop_
_atom_site_label
_atom_site_type_symbol
_atom_site_fract_x
_atom_site_fract_y
_atom_site_fract_z
Tb1 Tb 0.000 0.000 0.164
Pu1 Pu 0.000 0.000 0.500
Tl1 Tl 0.500 0.500 0.000
Tl2 Tl 0.500 0.500 0.330
# Calculated total energy (eV per atom): -5.3433
# Energy of formation (eV per atom): -0.2281
# DOS(E_F) (states/eV/f.u.): 11.1
# Magnetization (μB per cell): 6.21

# PBE-GGA MgCrSi2, relaxed
data_MgCrSi2
_space_group_name_H-M_alt 'P 1 m 1'
_space_group_IT_number 6
_cell_length_a 2.841
_cell_length_b 4.160
_cell_length_c 5.057
_cell_angle_alpha 90.00
_cell_angle_beta 106.24
_cell_angle_gamma 90.00
loop_
_space_group_symop_operation_xyz
'x,y,z'
'x,-y,z'
loop_
_atom_site_label
_atom_site_type_symbol
_atom_site_fract_x
_atom_site_fract_y
_atom_site_fract_z
Mg1 Mg 0.000 0.000 0.000
Cr1 Cr 0.316 0.500 0.635
Si1 Si 0.600 0.500 0.202
Si2 Si 0.743 0.000 0.492
# E_form (uncorrected) (kcal/mol of atoms): 2.6
# Calculated total energy (eV per atom): -5.4026
# DOS(E_F) (states/eV/f.u.): 2.1
# Magnetization (μB per cell): 1.48

# PBE-GGA Tb3Nd4Cd, relaxed
data_Tb3Nd4Cd
_space_group_name_H-M_alt 'P 4/m m m'
_space_group_IT_number 123
_space_group_name_Hall '-P 4 2'
_cell_length_a 4.147
_cell_length_b 4.147
_cell_length_c 15.022
_cell_angle_alpha 90.00
_cell_angle_beta 90.00
_cell_angle_gamma 90.00
loop_
_atom_site_label
_atom_site_type_symbol
_atom_site_fract_x
_atom_site_fract_y
_atom_site_fract_z
Tb1 Tb 0.000 0.000 0.000
Tb2 Tb 0.000 0.000 0.250
Nd1 Nd 0.500 0.500 0.123
Nd2 Nd 0.500 0.500 0.384
Cd1 Cd 0.000 0.000 0.500
# Calculated total energy (eV per atom): -4.2170
# Energy of formation (eV per atom): 0.0177
# DOS(E_F) (states/eV/f.u.): 13.8
# Magnetization (μB per cell): 0.00

# PBE-GGA Ac5PmSe6, relaxed
data_Ac5PmSe6
_space_group_name_H-M_alt 'C 1 2/m 1'
_space_group_IT_number 12
_cell_length_a 7.646
_cell_length_b 13.289
_cell_length_c 7.663
_cell_angle_alpha 90.00
_cell_angle_beta 109.62
_cell_angle_gamma 90.00
loop_
_space_group_symop_operation_xyz
'x,y,z'
'-x,-y,-z'
'-x,y,-z'
'x,-y,z'
'x+1/2,y+1/2,z'
'-x+1/2,-y+1/2,-z'
'-x+1/2,y+1/2,-z'
'x+1/2,-y+1/2,z'
loop_
_atom_site_label
_atom_site_type_symbol
_atom_site_fract_x
_atom_site_fract_y
_atom_site_fract_z
Ac1 Ac 0.000 0.000 0.000
Ac2 Ac 0.000 0.166 0.500
Ac3 Ac 0.000 0.330 0.000
Pm1 Pm 0.000 0.500 0.500
Se1 Se 0.241 0.500 0.253
Se2 Se 0.242 0.338 0.742
# E_form (uncorrected) (kcal/mol of atoms): -42.8
# Calculated total energy (eV per atom): -5.7055
# DOS(E_F) (states/eV/f.u.): 6.4
# Magnetization (μB per cell): 0.00

# PBE-GGA CuPd2Pt4, relaxed
data_CuPd2Pt4
_space_group_name_H-M_alt 'C 1 2/m 1'
_space_group_IT_number 12
_cell_length_a 8.775
_cell_length_b 3.936
_cell_length_c 6.208
_cell_angle_alpha 90.00
_cell_angle_beta 98.54
_cell_angle_gamma 90.00
loop_
_space_group_symop_operation_xyz
'x,y,z'
'-x,-y,-z'
'-x,y,-z'
'x,-y,z'
'x+1/2,y+1/2,z'
'-x+1/2,-y+1/2,-z'
'-x+1/2,y+1/2,-z'
'x+1/2,-y+1/2,z'
loop_
_atom_site_label
_atom_site_type_symbol
_atom_site_fract_x
_atom_site_fract_y
_atom_site_fract_z
Cu1 Cu 0.000 0.000 0.000
Pd1 Pd 0.214 0.500 0.137
Pt1 Pt 0.068 0.500 0.717
Pt2 Pt 0.143 0.000 0.423
# ΔE to the lowest computed polymorph (meV per atom): 0
# Calculated total energy (eV per atom): -5.5808
# Energy of formation (eV per atom): -0.0601
# DOS(E_F) (states/eV/f.u.): 12.0
# Magnetization (μB per cell): 0.00

# PBE-GGA PuNpGa2, relaxed
data_PuNpGa2
_space_group_name_H-M_alt 'P 4/m m m'
_space_group_IT_number 123
_space_group_name_Hall '-P 4 2'
_cell_length_a 3.935
_cell_length_b 3.935
_cell_length_c 5.523
_cell_angle_alpha 90.00
_cell_angle_beta 90.00
_cell_angle_gamma 90.00
loop_
_atom_site_label
_atom_site_type_symbol
_atom_site_fract_x
_atom_site_fract_y
_atom_site_fract_z
Pu1 Pu 0.000 0.000 0.000
Np1 Np 0.000 0.000 0.500
Ga1 Ga 0.500 0.500 0.251
# ΔE to the lowest computed polymorph (meV per atom): 14
# Calculated total energy (eV per atom): -8.4835
# Energy of formation (eV per atom): -0.1519
# DOS(E_F) (states/eV/f.u.): 10.3
# Magnetization (μB per cell): 9.34

# PBE-GGA Tl6Cl4O, relaxed
data_Tl6Cl4O
_space_group_name_H-M_alt 'C 1 c 1'
_space_group_IT_number 9
_cell_length_a 15.204
_cell_length_b 8.388
_cell_length_c 15.001
_cell_angle_alpha 90.00
_cell_angle_beta 120.20
_cell_angle_gamma 90.00
loop_
_space_group_symop_operation_xyz
'x,y,z'
'x,-y,z+1/2'
'x+1/2,y+1/2,z'
'x+1/2,-y+1/2,z+1/2'
loop_
_atom_site_label
_atom_site_type_symbol
_atom_site_fract_x
_atom_site_fract_y
_atom_site_fract_z
Tl1 Tl 0.000 0.032 0.000
Tl2 Tl 0.110 0.282 0.242
Tl3 Tl 0.188 0.292 0.951
Tl4 Tl 0.256 0.273 0.642
Tl5 Tl 0.418 0.034 0.420
Tl6 Tl 0.432 0.326 0.226
Cl1 Cl 0.100 0.360 0.715
Cl2 Cl 0.258 0.076 0.177
Cl3 Cl 0.286 0.315 0.447
Cl4 Cl 0.470 0.293 0.828
O1 O 0.016 0.252 0.904
# E_form (uncorrected) (kcal/mol of atoms): -19.8
# Calculated total energy (eV per atom): -3.2731
# DOS(E_F) (states/eV/f.u.): 0.0
# Magnetization (μB per cell): 0.00

# PBE-GGA VCrP2, relaxed
data_VCrP2
_space_group_name_H-M_alt 'R -3 m'
_space_group_IT_number 166
_space_group_name_Hall '-R 3 2"'
_cell_length_a 3.5279
_cell_length_b 3.5279
_cell_length_c 15.8381
_cell_angle_alpha 90.00
_cell_angle_beta 90.00
_cell_angle_gamma 120.00
loop_
_atom_site_label
_atom_site_type_symbol
_atom_site_fract_x
_atom_site_fract_y
_atom_site_fract_z
V1 V 0.0000 0.0000 0.0000
Cr1 Cr 0.0000 0.0000 0.5000
P1 P 0.0000 0.0000 0.2471
# ΔE to the lowest computed polymorph (meV per atom): 354
# Calculated total energy (eV per atom): -7.7189
# Energy of formation (eV per atom): -0.3285
# DOS(E_F) (states/eV/f.u.): 3.7
# Magnetization (μB per cell): 3.14

# PBE-GGA ReIr4Os, relaxed
data_ReIr4Os
_space_group_name_H-M_alt 'C m c m'
_space_group_IT_number 63
_space_group_name_Hall '-C 2c 2'
_cell_length_a 5.483
_cell_length_b 14.750
_cell_length_c 4.484
_cell_angle_alpha 90.00
_cell_angle_beta 90.00
_cell_angle_gamma 90.00
loop_
_atom_site_label
_atom_site_type_symbol
_atom_site_fract_x
_atom_site_fract_y
_atom_site_fract_z
Re1 Re 0.000 0.195 0.250
Ir1 Ir 0.249 0.460 0.750
Ir2 Ir 0.250 0.146 0.750
Os1 Os 0.000 0.305 0.750
# ΔE to the lowest computed polymorph (meV per atom): 0
# Calculated total energy (eV per atom): -9.7799
# Energy of formation (eV per atom): 0.0737
# DOS(E_F) (states/eV/f.u.): 4.0
# Magnetization (μB per cell): 0.00

# PBE-GGA Ac2Zn7In, relaxed
data_Ac2Zn7In
_space_group_name_H-M_alt 'P -4 m 2'
_space_group_IT_number 115
_cell_length_a 4.540
_cell_length_b 4.540
_cell_length_c 10.629
_cell_angle_alpha 90.00
_cell_angle_beta 90.00
_cell_angle_gamma 90.00
loop_
_space_group_symop_operation_xyz
'x,y,z'
'y,-x,-z'
'-x,-y,z'
'-y,x,-z'
'-x,y,z'
'-y,-x,-z'
'x,-y,z'
'y,x,-z'
loop_
_atom_site_label
_atom_site_type_symbol
_atom_site_fract_x
_atom_site_fract_y
_atom_site_fract_z
Ac1 Ac 0.000 0.500 0.238
Zn1 Zn 0.000 0.000 0.000
Zn2 Zn 0.000 0.500 0.643
Zn3 Zn 0.000 0.500 0.880
Zn4 Zn 0.500 0.500 0.000
Zn5 Zn 0.500 0.500 0.500
In1 In 0.000 0.000 0.500
# Calculated total energy (eV per atom): -2.2954
# Energy of formation (eV per atom): -0.3081
# DOS(E_F) (states/eV/f.u.): 8.1
# Magnetization (μB per cell): 0.00